1.
Here is a relaxed PtN2Cl crystal from the Alexandria database. Energies are from GGA-PBE.

Geometry as POSCAR:
```
PtN2Cl
1.0
4.6405 -4.6151 0.4267
5.7873 -2.5874 -1.6820
6.0901 -1.9989 1.3897
N Pt Cl
2 1 1
Direct
0.9002 0.9002 0.9002
0.0998 0.0998 0.0998
0.0000 0.0000 0.0000
0.5000 0.5000 0.5000
```

Computed properties:
Offset from the most stable computed form = 913 meV per atom
DFT total energy = -17.2 eV per formula unit
ΔE_f (raw) = 7.36 eV per formula unit
Total magnetic moment = 0.0 μB/cell

2.
Here is a relaxed Ca3Zn2Ag9 crystal from the Alexandria database. Energies are from GGA-PBE.

Geometry as POSCAR:
```
Ca3Zn2Ag9
1.0
-3.1919 2.0513 2.6648
-1.5511 -5.4603 6.3789
4.1671 2.6999 6.9467
Ca Zn Ag
3 2 9
Direct
0.0000 0.0000 0.0000
0.6927 0.3073 0.3073
0.3073 0.6927 0.6927
0.5000 0.2864 0.7136
0.5000 0.7136 0.2864
0.0000 0.5000 0.5000
0.6741 0.9652 0.6867
0.3259 0.0348 0.3133
0.6741 0.6867 0.9652
0.3259 0.3133 0.0348
0.8809 0.8443 0.3939
0.1191 0.1557 0.6061
0.8809 0.3939 0.8443
0.1191 0.6061 0.1557
```

Computed properties:
DFT total energy = -36.9 eV per formula unit
ΔH_f (0 K) = -0.19 eV per atom
Total magnetic moment = 0.0 μB/cell